[1]
Density functional theory data (PBE-GGA) for a geometry-optimized CaCo2Rh structure.

The structure in POSCAR format:
```
CaCo2Rh
1.0
2.9824 0.0000 0.0000
0.0000 4.4965 0.0000
0.0000 0.0000 9.3574
Ca Co Rh
2 4 2
Direct
0.0000 0.0000 0.0000
0.5000 0.5000 0.5000
0.0000 0.5000 0.2278
0.0000 0.5000 0.7722
0.5000 0.0000 0.2722
0.5000 0.0000 0.7278
0.0000 0.0000 0.5000
0.5000 0.5000 0.0000
```

Its total magnetic moment is 8.08 Bohr magnetons per cell. As for the total energy: -5.608 eV per atom.



[2]
Density functional theory data (PBE-GGA) for a geometry-optimized Ca2CoRh structure.

The structure in POSCAR format:
```
Ca2CoRh
1.0
6.8064 0.0000 0.0000
0.0000 6.8237 0.0000
0.0000 0.0000 3.4678
Ca Co Rh
4 2 2
Direct
0.2500 0.2500 0.0000
0.2500 0.7500 0.0000
0.7500 0.2500 0.0000
0.7500 0.7500 0.0000
0.0000 0.0000 0.5000
0.5000 0.5000 0.5000
0.0000 0.5000 0.5000
0.5000 0.0000 0.5000
```

Its total magnetic moment is 2.07 Bohr magnetons per cell. As for the total energy: -4.498 eV per atom.



[3]
Density functional theory data (PBE-GGA) for a geometry-optimized Ca2CoRh structure.

The structure in POSCAR format:
```
Ca2CoRh
1.0
6.7645 0.0000 0.0000
0.0000 6.7645 0.0000
0.0000 0.0000 6.7645
Ca Co Rh
8 4 4
Direct
0.0000 0.0000 0.0000
0.0000 0.5000 0.5000
0.2500 0.2500 0.2500
0.2500 0.7500 0.7500
0.5000 0.0000 0.5000
0.5000 0.5000 0.0000
0.7500 0.2500 0.7500
0.7500 0.7500 0.2500
0.2500 0.2500 0.7500
0.2500 0.7500 0.2500
0.7500 0.2500 0.2500
0.7500 0.7500 0.7500
0.0000 0.0000 0.5000
0.0000 0.5000 0.0000
0.5000 0.0000 0.0000
0.5000 0.5000 0.5000
```

Its total magnetic moment is 6.40 Bohr magnetons per cell. As for the total energy: -4.392 eV per atom.